Entry from the Alexandria database: BeSe2N2 after structural relaxation (PBE-GGA).

a b c (Å): 4.2371 4.2371 3.6549
angles (deg): 90.00 90.00 90.00
With the nearest neighbours (Å) after each atom.
Element x y z (fractional)
Be1 0.5000 0.5000 0.5000  8 Se 2.80, 4 N 3.00
Se1 0.0000 0.5000 0.0000  2 N 2.12
Se2 0.5000 0.0000 0.0000  2 N 2.12
N1 0.0000 0.0000 0.0000  2 N 1.83
N2 0.0000 0.0000 0.5000  2 N 1.83

Output
Polymorph energy (0 for the lowest one) in eV per atom: 0.531
DOS at the Fermi energy in states/eV/cell: 2.8
Raw formation energy in meV/atom: 1739
Spin magnetization in μB per formula unit: 0.0